[1]
An optimized crystal structure of HfZr. Source: Alexandria, functional PBE.

Cell lengths 5.135, 5.135, 5.478 Å; angles 90.00, 90.00, 120.00 degrees
Positions (direct):
Hf1 0.667 0.333 0.250
Hf2 0.333 0.667 0.750
Zr1 0.667 0.333 0.750
Zr2 0.333 0.667 0.250

Values from the calculation:
* relative energy among the computed polymorphs: 1622 meV/atom
* energy: -30.5 eV for the cell shown
* space group: P6_3/mmc (194)
* energy relative to the elements: 1.617 eV/atom



[2]
An optimized crystal structure of HfZr. Source: Alexandria, functional PBE.

Cell lengths 3.555, 3.555, 3.555 Å; angles 90.00, 90.00, 90.00 degrees
Positions (direct):
Hf1 0.500 0.500 0.500
Zr1 0.000 0.000 0.000

Values from the calculation:
* relative energy among the computed polymorphs: 137 meV/atom
* energy: -18.2 eV for the cell shown
* space group: Pm-3m (221)
* energy relative to the elements: 0.131 eV/atom



[3]
An optimized crystal structure of HfZr. Source: Alexandria, functional PBE.

Cell lengths 3.219, 5.569, 6.041 Å; angles 117.56, 105.45, 90.00 degrees
Positions (direct):
Zr1 0.124 0.292 0.248
Hf1 0.374 0.208 0.748
Hf2 0.626 0.792 0.252
Zr2 0.876 0.708 0.752

Values from the calculation:
* relative energy among the computed polymorphs: 5 meV/atom
* energy: -37.0 eV for the cell shown
* space group: C2/m (12)
* energy relative to the elements: 0.000 eV/atom



[4]
An optimized crystal structure of Hf5Zr6. Source: Alexandria, functional PBE.

Cell lengths 9.166, 7.567, 5.392 Å; angles 72.04, 59.39, 52.72 degrees
Positions (direct):
Hf1 0.233 0.534 0.500
Zr1 0.044 0.278 0.894
Hf2 0.767 0.466 0.500
Hf3 0.367 0.265 0.000
Zr2 0.322 0.722 0.894
Zr3 0.818 0.000 0.594
Zr4 0.182 0.000 0.406
Zr5 0.678 0.278 0.106
Zr6 0.956 0.722 0.106
Hf4 0.500 0.000 0.500
Hf5 0.633 0.735 0.000

Values from the calculation:
* relative energy among the computed polymorphs: 5 meV/atom
* energy: -99.9 eV for the cell shown
* space group: C2/m (12)
* energy relative to the elements: 0.101 eV/atom



[5]
An optimized crystal structure of HfZr. Source: Alexandria, functional PBE.

Cell lengths 6.352, 6.352, 6.352 Å; angles 90.00, 90.00, 90.00 degrees
Each line ends with the local moment (μB).
Positions (direct):
Hf1 0.500 0.000 0.500  0.52
Zr1 0.750 0.750 0.250  0.54
Hf2 0.500 0.500 0.000  0.52
Zr2 0.250 0.750 0.750  0.54
Zr3 0.250 0.250 0.250  0.54
Zr4 0.750 0.250 0.750  0.54
Hf3 0.000 0.500 0.500  0.52
Hf4 0.000 0.000 0.000  0.52

Values from the calculation:
* relative energy among the computed polymorphs: 2522 meV/atom
* energy: -53.9 eV for the cell shown
* space group: F-43m (216)
* energy relative to the elements: 2.517 eV/atom



[6]
An optimized crystal structure of HfZr. Source: Alexandria, functional PBE.

Cell lengths 7.869, 7.869, 7.869 Å; angles 90.00, 90.00, 90.00 degrees
Each line ends with the local moment (μB).
Positions (direct):
Zr1 0.500 0.250 0.000  0.21
Hf1 0.250 0.500 0.000  0.19
Hf2 0.000 0.750 0.500  0.19
Zr2 0.000 0.500 0.250  0.21
Zr3 0.750 0.000 0.500  0.21
Hf3 0.500 0.000 0.250  0.19
Hf4 0.500 0.000 0.750  0.19
Zr4 0.250 0.000 0.500  0.21
Hf5 0.000 0.250 0.500  0.19
Hf6 0.750 0.500 0.000  0.19
Zr5 0.500 0.750 0.000  0.21
Zr6 0.000 0.500 0.750  0.21

Values from the calculation:
* relative energy among the computed polymorphs: 2611 meV/atom
* energy: -79.7 eV for the cell shown
* space group: Pm-3n (223)
* energy relative to the elements: 2.606 eV/atom



[7]
An optimized crystal structure of HfZr. Source: Alexandria, functional PBE.

Cell lengths 3.007, 6.027, 5.197 Å; angles 90.00, 90.00, 90.00 degrees
Positions (direct):
Hf1 0.000 0.000 0.500
Hf2 0.500 0.500 0.000
Zr1 0.000 0.500 0.500
Zr2 0.500 0.000 0.000

Values from the calculation:
* relative energy among the computed polymorphs: 421 meV/atom
* energy: -35.3 eV for the cell shown
* space group: Immm (71)
* energy relative to the elements: 0.416 eV/atom



[8]
An optimized crystal structure of HfZr. Source: Alexandria, functional PBE.

Cell lengths 8.781, 8.781, 5.076 Å; angles 90.00, 90.00, 90.00 degrees
Positions (direct):
Zr1 0.825 0.559 0.500
Zr2 0.441 0.825 0.500
Zr3 0.559 0.175 0.500
Hf1 0.720 0.053 0.000
Hf2 0.884 0.217 0.500
Zr4 0.620 0.721 0.000
Hf3 0.947 0.720 0.000
Zr5 0.279 0.620 0.000
Zr6 0.380 0.279 0.000
Hf4 0.053 0.280 0.000
Hf5 0.116 0.783 0.500
Zr7 0.175 0.441 0.500
Hf6 0.783 0.884 0.500
Hf7 0.280 0.947 0.000
Hf8 0.217 0.116 0.500
Zr8 0.721 0.380 0.000

Values from the calculation:
* relative energy among the computed polymorphs: 343 meV/atom
* energy: -142.6 eV for the cell shown
* space group: P4/m (83)
* energy relative to the elements: 0.338 eV/atom



[9]
An optimized crystal structure of HfZr5. Source: Alexandria, functional PBE.

Cell lengths 4.506, 4.513, 7.177 Å; angles 108.32, 90.00, 90.00 degrees
Positions (direct):
Zr1 0.500 0.835 0.669
Zr2 0.000 0.665 0.330
Zr3 0.500 0.500 0.000
Zr4 0.000 0.335 0.670
Hf1 0.000 0.000 0.000
Zr5 0.500 0.165 0.331

Values from the calculation:
* energy: -52.4 eV for the cell shown
* space group: Cmmm (65)
* energy relative to the elements: 0.046 eV/atom



[10]
An optimized crystal structure of HfZr. Source: Alexandria, functional PBE.

Cell lengths 5.109, 3.217, 5.571 Å; angles 90.00, 90.00, 90.00 degrees
Positions (direct):
Zr1 0.250 0.500 0.332
Zr2 0.750 0.500 0.668
Hf1 0.750 0.000 0.166
Hf2 0.250 0.000 0.834

Values from the calculation:
* relative energy among the computed polymorphs: 0 meV/atom
* energy: -37.0 eV for the cell shown
* space group: Pmma (51)
* energy relative to the elements: -0.005 eV/atom



[11]
An optimized crystal structure of HfZr5. Source: Alexandria, functional PBE.

Cell lengths 5.031, 5.031, 6.280 Å; angles 90.01, 90.00, 120.00 degrees
Positions (direct):
Zr1 0.028 0.055 0.556
Hf1 0.028 0.056 0.056
Zr2 0.361 0.722 0.304
Zr3 0.694 0.389 0.304
Zr4 0.695 0.389 0.807
Zr5 0.361 0.722 0.807

Values from the calculation:
* energy: -52.7 eV for the cell shown
* space group: P6/mmm (191)
* energy relative to the elements: -0.005 eV/atom



[12]
An optimized crystal structure of Hf5Zr7. Source: Alexandria, functional PBE.

Cell lengths 4.485, 7.137, 9.586 Å; angles 72.77, 76.47, 71.69 degrees
Positions (direct):
Zr1 0.250 0.747 0.753
Hf1 0.333 0.336 0.999
Zr2 0.999 0.003 0.998
Hf2 0.916 0.414 0.753
Zr3 0.415 0.921 0.248
Zr4 0.166 0.168 0.501
Zr5 0.087 0.579 0.247
Hf3 0.669 0.662 0.999
Zr6 0.832 0.835 0.501
Zr7 0.501 0.496 0.502
Hf4 0.581 0.086 0.752
Hf5 0.750 0.253 0.247

Values from the calculation:
* relative energy among the computed polymorphs: 0 meV/atom
* energy: -109.0 eV for the cell shown
* space group: Cm (8)
* energy relative to the elements: 0.053 eV/atom